# 1
VASP calculation (PBE) on a relaxed structure of Hf2TlSiN.

Unit cell a=4.5509 b=4.0591 c=4.5509 alpha=90.00 beta=90.00 gamma=90.00
Closest atoms and distances in Å follow each position.
Fractional positions:
Tl1 0.5000 0.5000 0.5000  8 Hf 3.05, 4 Si 3.22
Hf1 0.0000 0.0000 0.5000  2 N 2.28
Hf2 0.5000 0.0000 0.0000  2 N 2.28
Si1 0.0000 0.5000 0.0000  2 N 2.03
N1 0.0000 0.0000 0.0000  2 Si 2.03

Results
uncorrected formation energy = -0.218 eV per atom
symmetry = P4/mmm

=====

# 2
VASP calculation (PBE) on a relaxed structure of HfSiWN2.

Unit cell a=3.7534 b=5.1039 c=3.7534 alpha=90.00 beta=90.00 gamma=90.00
Closest atoms and distances in Å follow each position.
Fractional positions:
Si1 0.0000 0.0000 0.0000  4 N 1.88
Hf1 0.0000 0.5000 0.0000  2 Si 2.55, 4 W 2.65
W1 0.5000 0.5000 0.5000  4 Hf 2.65
N1 0.0000 0.0000 0.5000  2 Si 1.88
N2 0.5000 0.0000 0.0000  2 Si 1.88

Results
uncorrected formation energy = 1.584 eV per atom
symmetry = P4/mmm

=====

# 3
VASP calculation (PBE) on a relaxed structure of Sm2HfN.

Unit cell a=3.4074 b=3.4074 c=9.4871 alpha=79.65 beta=79.65 gamma=60.00
Closest atoms and distances in Å follow each position.
Fractional positions:
Hf1 0.0000 0.0000 0.0000  2 Sm 3.23, 6 Hf 3.41
Sm1 0.1162 0.1162 0.6515  3 N 2.42
Sm2 0.8838 0.8838 0.3485  3 N 2.42
N1 0.5000 0.5000 0.5000  6 Sm 2.42

Results
uncorrected formation energy = -0.356 eV per atom
symmetry = R-3m

=====

# 4
VASP calculation (PBE) on a relaxed structure of Sm4HfN5.

Unit cell a=5.0270 b=6.0690 c=6.0690 alpha=80.12 beta=65.53 gamma=65.53
Closest atoms and distances in Å follow each position.
Fractional positions:
Sm1 0.4000 0.4022 0.8026  6 N 2.46-2.67
Sm2 0.8022 0.8026 0.5978  6 N 2.46-2.67
Sm3 0.2026 0.1974 0.4022  6 N 2.46-2.67
Sm4 0.6048 0.5978 0.1974  6 N 2.46-2.67
Hf1 0.0341 0.0000 0.0000  5 N 2.12-2.29
N1 0.9100 0.3702 0.8154  1 Hf 2.29, 4 Sm 2.46-2.52
N2 0.2802 0.8154 0.6298  1 Hf 2.29, 4 Sm 2.46-2.52
N3 0.7254 0.1846 0.3702  1 Hf 2.29, 4 Sm 2.46-2.52
N4 0.0957 0.6298 0.1846  1 Hf 2.29, 4 Sm 2.46-2.52
N5 0.4552 0.0000 0.0000  1 Hf 2.12

Results
uncorrected formation energy = -1.553 eV per atom
symmetry = I4

=====

# 5
VASP calculation (PBE) on a relaxed structure of SmHf2N4.

Unit cell a=3.2457 b=5.6091 c=10.5427 alpha=90.00 beta=90.00 gamma=106.82
Closest atoms and distances in Å follow each position.
Fractional positions:
Sm1 0.6094 0.2188 0.7500  6 N 2.38-2.57
Sm2 0.3906 0.7812 0.2500  6 N 2.38-2.57
Hf1 0.1322 0.2644 0.4321  6 N 2.10-2.27
Hf2 0.8678 0.7356 0.9321  6 N 2.10-2.27
Hf3 0.1322 0.2644 0.0679  6 N 2.10-2.27
Hf4 0.8678 0.7356 0.5679  6 N 2.10-2.27
N1 0.7631 0.5263 0.1124  3 Hf 2.20-2.21
N2 0.7631 0.5263 0.3876  3 Hf 2.20-2.21
N3 0.2369 0.4737 0.8876  3 Hf 2.20-2.21
N4 0.2369 0.4737 0.6124  3 Hf 2.20-2.21
N5 0.9476 0.8951 0.7500  2 Hf 2.10
N6 0.0524 0.1049 0.2500  2 Hf 2.10
N7 0.5000 0.0000 0.0000  4 Hf 2.27
N8 0.5000 0.0000 0.5000  4 Hf 2.27

Results
uncorrected formation energy = -1.438 eV per atom
symmetry = Cmcm

=====

# 6
VASP calculation (PBE) on a relaxed structure of Sm2HfTe2N2.

Unit cell a=4.2453 b=4.2453 c=9.0306 alpha=103.59 beta=103.59 gamma=90.00
Closest atoms and distances in Å follow each position.
Fractional positions:
Sm1 0.4022 0.4023 0.8045  4 N 2.70
Sm2 0.5978 0.5977 0.1955  4 N 2.70
Hf1 0.0000 0.0000 0.0000  4 N 2.12
Te1 0.1761 0.1761 0.3523  1 Hf 3.00, 4 Sm 3.29
Te2 0.8239 0.8239 0.6477  1 Hf 3.00, 4 Sm 3.29
N1 0.0000 0.5000 0.0000  2 Hf 2.12
N2 0.5000 0.0000 0.0000  2 Hf 2.12

Results
uncorrected formation energy = -1.485 eV per atom
symmetry = I4/mmm

=====

# 7
VASP calculation (PBE) on a relaxed structure of SmHf2TiN4.

Unit cell a=3.2322 b=5.8927 c=11.3787 alpha=90.00 beta=90.00 gamma=105.92
Closest atoms and distances in Å follow each position.
Fractional positions:
Sm1 0.1081 0.2162 0.7500  6 N 2.42-2.68
Sm2 0.8919 0.7838 0.2500  6 N 2.42-2.68
Hf1 0.3695 0.7389 0.5369  5 N 2.12-2.36
Hf2 0.6305 0.2611 0.0369  5 N 2.12-2.36
Hf3 0.6305 0.2611 0.4631  5 N 2.12-2.36
Hf4 0.3695 0.7389 0.9631  5 N 2.12-2.36
Ti1 0.8441 0.6882 0.7500  4 N 1.94-2.00
Ti2 0.1559 0.3118 0.2500  4 N 1.94-2.00
N1 0.2605 0.5210 0.1146  1 Ti 1.94, 1 Hf 2.12
N2 0.7395 0.4790 0.6146  1 Ti 1.94, 1 Hf 2.12
N3 0.7395 0.4790 0.8854  1 Ti 1.94, 1 Hf 2.12
N4 0.2605 0.5210 0.3854  1 Ti 1.94, 1 Hf 2.12
N5 0.0000 0.0000 0.5000  4 Hf 2.23
N6 0.0000 0.0000 0.0000  4 Hf 2.23
N7 0.4486 0.8972 0.7500  2 Ti 2.00
N8 0.5514 0.1028 0.2500  2 Ti 2.00

Results
uncorrected formation energy = -1.479 eV per atom
symmetry = Cmcm

=====

# 8
VASP calculation (PBE) on a relaxed structure of SmTm2HfN4.

Unit cell a=3.3832 b=5.8959 c=5.8527 alpha=109.24 beta=90.00 gamma=90.00
Closest atoms and distances in Å follow each position.
Fractional positions:
Sm1 0.5000 0.5000 0.0000  6 N 2.44
Tm1 0.5000 0.0000 0.5000  6 N 2.35-2.36
Tm2 0.0000 0.5000 0.5000  6 N 2.47-2.49
Hf1 0.0000 0.0000 0.0000  6 N 2.30-2.33
N1 0.5000 0.2316 0.2403  2 Hf 2.33, 3 Tm 2.35-2.47, 1 Sm 2.44
N2 0.5000 0.7684 0.7597  2 Hf 2.33, 3 Tm 2.35-2.47, 1 Sm 2.44
N3 0.0000 0.2314 0.7506  1 Hf 2.30, 3 Tm 2.36-2.49, 2 Sm 2.44
N4 0.0000 0.7686 0.2494  1 Hf 2.30, 3 Tm 2.36-2.49, 2 Sm 2.44

Results
uncorrected formation energy = -1.725 eV per atom
symmetry = P2/m

=====

# 9
VASP calculation (PBE) on a relaxed structure of SmHfU2N4.

Unit cell a=3.3823 b=5.9345 c=5.9382 alpha=109.03 beta=90.00 gamma=90.00
Closest atoms and distances in Å follow each position.
Fractional positions:
Sm1 0.5000 0.5000 0.0000  6 N 2.49-2.50
Hf1 0.0000 0.0000 0.0000  6 N 2.31-2.33
U1 0.5000 0.0000 0.5000  6 N 2.34-2.35
U2 0.0000 0.5000 0.5000  6 N 2.51-2.53
N1 0.5000 0.2242 0.2397  2 Hf 2.33, 3 U 2.35-2.51, 1 Sm 2.49
N2 0.5000 0.7758 0.7603  2 Hf 2.33, 3 U 2.35-2.51, 1 Sm 2.49
N3 0.0000 0.2220 0.7445  1 Hf 2.31, 3 U 2.34-2.53, 2 Sm 2.50
N4 0.0000 0.7780 0.2555  1 Hf 2.31, 3 U 2.34-2.53, 2 Sm 2.50

Results
uncorrected formation energy = -1.460 eV per atom
symmetry = P2/m

=====

# 10
VASP calculation (PBE) on a relaxed structure of SmHfVN3.

Unit cell a=3.3405 b=6.8552 c=8.1678 alpha=104.87 beta=90.00 gamma=90.00
Closest atoms and distances in Å follow each position.
Fractional positions:
Sm1 0.7500 0.8135 0.8384  5 N 2.37-2.59
Sm2 0.2500 0.1865 0.1616  5 N 2.37-2.59
Hf1 0.2500 0.6596 0.1430  6 N 2.21-2.32
Hf2 0.7500 0.3404 0.8570  6 N 2.21-2.32
V1 0.2500 0.0616 0.6146  4 N 1.91-1.97
V2 0.7500 0.9384 0.3854  4 N 1.91-1.97
N1 0.2500 0.8201 0.4221  3 V 1.91-1.97
N2 0.7500 0.8919 0.1378  1 V 1.96
N3 0.7500 0.4392 0.1365  3 Hf 2.21-2.24, 2 Sm 2.45
N4 0.7500 0.1799 0.5779  3 V 1.91-1.97
N5 0.2500 0.5608 0.8635  3 Hf 2.21-2.24, 2 Sm 2.45
N6 0.2500 0.1081 0.8622  1 V 1.96

Results
uncorrected formation energy = -1.272 eV per atom
symmetry = P2_1/m

=====

# 11
VASP calculation (PBE) on a relaxed structure of SmHf2VN4.

Unit cell a=3.2473 b=5.8342 c=11.1113 alpha=90.00 beta=90.00 gamma=106.16
Closest atoms and distances in Å follow each position.
Fractional positions:
Sm1 0.0986 0.1973 0.7500  6 N 2.43-2.70
Sm2 0.9014 0.8027 0.2500  6 N 2.43-2.70
Hf1 0.3687 0.7374 0.5441  5 N 2.12-2.33
Hf2 0.6313 0.2626 0.0441  5 N 2.12-2.33
Hf3 0.6313 0.2626 0.4559  5 N 2.12-2.33
Hf4 0.3687 0.7374 0.9559  5 N 2.12-2.33
V1 0.8370 0.6740 0.7500  4 N 1.88-1.97
V2 0.1630 0.3260 0.2500  4 N 1.88-1.97
N1 0.2637 0.5274 0.1146  1 V 1.88
N2 0.7363 0.4726 0.6146  1 V 1.88
N3 0.7363 0.4726 0.8854  1 V 1.88
N4 0.2637 0.5274 0.3854  1 V 1.88
N5 0.0000 0.0000 0.5000  4 Hf 2.25
N6 0.0000 0.0000 0.0000  4 Hf 2.25
N7 0.4371 0.8743 0.7500  2 V 1.97
N8 0.5629 0.1257 0.2500  2 V 1.97

Results
uncorrected formation energy = -1.428 eV per atom
symmetry = Cmcm

=====

# 12
VASP calculation (PBE) on a relaxed structure of SmHf3Zr2N6.

Unit cell a=3.2550 b=6.6431 c=7.3672 alpha=103.80 beta=102.76 gamma=90.00
Closest atoms and distances in Å follow each position.
Fractional positions:
Sm1 0.5000 0.0000 0.0000  6 N 2.44
Hf1 0.5000 0.5000 0.0000  6 N 2.21-2.26
Hf2 0.8321 0.1691 0.6642  6 N 2.19-2.31
Hf3 0.1679 0.8309 0.3358  6 N 2.19-2.31
Zr1 0.8302 0.6606 0.6604  6 N 2.34-2.41
Zr2 0.1698 0.3394 0.3396  6 N 2.34-2.41
N1 0.3251 0.9232 0.6502  3 Hf 2.19-2.29, 2 Zr 2.40, 1 Sm 2.44
N2 0.6623 0.5931 0.3246  3 Hf 2.26, 3 Zr 2.34-2.36
N3 0.6749 0.0768 0.3498  3 Hf 2.19-2.29, 2 Zr 2.40, 1 Sm 2.44
N4 0.9975 0.2727 0.9951  3 Hf 2.21-2.31, 1 Zr 2.41, 2 Sm 2.44
N5 0.0025 0.7273 0.0049  3 Hf 2.21-2.31, 1 Zr 2.41, 2 Sm 2.44
N6 0.3377 0.4069 0.6754  3 Hf 2.26, 3 Zr 2.34-2.36

Results
uncorrected formation energy = -1.695 eV per atom
symmetry = C2/m